*one*
{"formula": "NaErTl4", "functional": "PBE-GGA", "state": "relaxed", "cell": [[3.585, 0.000, 1.037], [2.031, 5.993, -0.307], [-0.405, -1.957, 8.117]], "species": ["Er", "Tl", "Tl", "Tl", "Tl", "Na"], "frac_coords": [[0.500, 0.500, 0.500], [0.144, 0.537, 0.175], [0.856, 0.463, 0.825], [0.314, 0.027, 0.345], [0.686, 0.973, 0.655], [0.000, 0.000, 0.000]], "dos_ef_per_ev_cell": 3.6, "sg": "No. 12"}

*two*
{"formula": "NaErTl4", "functional": "PBE-GGA", "state": "relaxed", "cell": [[-3.001, 1.126, -1.877], [1.435, -2.883, -4.024], [-4.472, -6.925, 3.364]], "species": ["Tl", "Tl", "Tl", "Tl", "Er", "Na"], "frac_coords": [[0.960, 0.497, 0.682], [0.214, 0.997, 0.145], [0.356, 0.497, 0.365], [0.419, 0.997, 0.803], [0.823, 0.997, 0.463], [0.737, 0.497, 0.031]], "dos_ef_per_ev_cell": 2.1, "sg": "No. 6"}

Last place for stability: *one*

*one*
{"formula": "NaErTm2", "functional": "PBE-GGA", "state": "relaxed", "cell": [[3.499, 0.000, 0.000], [0.000, 3.499, 0.000], [0.000, 0.000, 10.382]], "species": ["Tm", "Tm", "Er", "Na"], "frac_coords": [[0.000, 0.000, 0.773], [0.000, 0.000, 0.227], [0.500, 0.500, 0.000], [0.500, 0.500, 0.500]], "dos_ef_per_ev_cell": 3.8, "sg": "No. 123"}

*two*
{"formula": "NaErTm2", "functional": "PBE-GGA", "state": "relaxed", "cell": [[-0.941, 0.718, 3.240], [1.730, -1.382, 2.645], [8.030, 9.636, 2.034]], "species": ["Er", "Tm", "Tm", "Na"], "frac_coords": [[0.500, 0.500, 0.500], [0.907, 0.907, 0.278], [0.093, 0.093, 0.722], [0.000, 0.000, 0.000]], "dos_ef_per_ev_cell": 5.0, "sg": "No. 166"}

Last place for stability: *two*

*one*
{"formula": "NaYEr2", "functional": "PBE-GGA", "state": "relaxed", "cell": [[3.525, 0.000, 0.000], [0.000, 3.525, 0.000], [0.000, 0.000, 10.465]], "species": ["Y", "Er", "Er", "Na"], "frac_coords": [[0.500, 0.500, 0.000], [0.000, 0.000, 0.231], [0.000, 0.000, 0.769], [0.500, 0.500, 0.500]], "dos_ef_per_ev_cell": 4.4, "sg": "No. 123"}

*two*
{"formula": "NaYEr2", "functional": "PBE-GGA", "state": "relaxed", "cell": [[-1.843, 2.704, 1.197], [-2.564, -0.521, 2.302], [6.762, 2.137, 10.654]], "species": ["Er", "Er", "Na", "Y"], "frac_coords": [[0.908, 0.908, 0.276], [0.092, 0.092, 0.724], [0.000, 0.000, 0.000], [0.500, 0.500, 0.500]], "dos_ef_per_ev_cell": 5.2, "sg": "No. 166"}

Last place for stability: *two*

*one*
{"formula": "NaYEr", "functional": "PBE-GGA", "state": "relaxed", "cell": [[3.525, 0.000, 0.000], [-1.763, 3.053, 0.000], [0.000, 0.000, 9.139]], "species": ["Y", "Er", "Na"], "frac_coords": [[0.333, 0.667, 0.650], [0.667, 0.333, 0.349], [0.000, 0.000, 0.001]], "dos_ef_per_ev_cell": 4.7, "sg": "No. 156"}

*two*
{"formula": "NaYEr", "functional": "PBE-GGA", "state": "relaxed", "cell": [[3.477, -0.008, 0.411], [-0.042, 3.476, 0.411], [-0.189, -0.190, 17.042]], "species": ["Na", "Na", "Y", "Y", "Er", "Er"], "frac_coords": [[0.952, 0.952, 0.609], [0.048, 0.048, 0.391], [0.210, 0.210, 0.078], [0.790, 0.790, 0.922], [0.634, 0.634, 0.224], [0.366, 0.366, 0.776]], "dos_ef_per_ev_cell": 7.1, "sg": "No. 12"}

*three*
{"formula": "NaYEr", "functional": "PBE-GGA", "state": "relaxed", "cell": [[-1.873, 1.532, 2.517], [-2.653, -2.175, -0.650], [5.229, -4.908, 4.456]], "species": ["Er", "Na", "Y"], "frac_coords": [[0.324, 0.324, 0.648], [0.999, 0.999, 0.999], [0.676, 0.676, 0.353]], "dos_ef_per_ev_cell": 4.3, "sg": "No. 107"}

*four*
{"formula": "NaYEr", "functional": "PBE-GGA", "state": "relaxed", "cell": [[4.116, 0.000, 0.000], [0.000, 4.116, 0.000], [0.000, 0.000, 11.688]], "species": ["Na", "Na", "Y", "Y", "Er", "Er"], "frac_coords": [[0.000, 0.000, 0.000], [0.500, 0.500, 0.000], [0.000, 0.500, 0.263], [0.500, 0.000, 0.737], [0.500, 0.000, 0.428], [0.000, 0.500, 0.572]], "dos_ef_per_ev_cell": 8.0, "sg": "No. 129"}

Last place for stability: *four*

*one*
{"formula": "Er3Nb", "functional": "PBE-GGA", "state": "relaxed", "cell": [[-2.188, 1.985, 4.402], [1.549, -2.346, 1.827], [4.672, 3.621, 0.689]], "species": ["Nb", "Er", "Er", "Er"], "frac_coords": [[0.000, 0.000, 0.992], [0.500, 0.000, 0.691], [0.500, 0.500, 0.162], [0.000, 0.500, 0.489]], "dos_ef_per_ev_cell": 5.9, "sg": "No. 25"}

*two*
{"formula": "Er3Nb", "functional": "PBE-GGA", "state": "relaxed", "cell": [[3.369, 0.000, 0.000], [0.000, 5.885, 0.000], [-1.684, -2.943, 5.349]], "species": ["Er", "Er", "Er", "Nb"], "frac_coords": [[0.265, 0.605, 0.530], [0.735, 0.075, 0.470], [0.500, 0.478, 0.000], [0.000, 0.009, 0.000]], "dos_ef_per_ev_cell": 5.0, "sg": "No. 44"}

Last place for stability: *two*

*one*
{"formula": "ErNb2", "functional": "PBE-GGA", "state": "relaxed", "cell": [[5.706, 0.000, 0.000], [2.853, 4.942, 0.000], [2.853, 1.647, 4.659]], "species": ["Nb", "Nb", "Nb", "Nb", "Er", "Er"], "frac_coords": [[0.625, 0.125, 0.625], [0.625, 0.625, 0.125], [0.125, 0.625, 0.625], [0.625, 0.625, 0.625], [0.000, 0.000, 0.000], [0.250, 0.250, 0.250]], "dos_ef_per_ev_cell": 11.9, "sg": "No. 227"}

*two*
{"formula": "ErNb2", "functional": "PBE-GGA", "state": "relaxed", "cell": [[-0.210, 3.391, 0.845], [-1.775, 0.626, -2.952], [-3.643, -2.941, 3.643]], "species": ["Er", "Nb", "Nb"], "frac_coords": [[0.000, 0.000, 0.000], [0.694, 0.694, 0.388], [0.306, 0.306, 0.612]], "dos_ef_per_ev_cell": 3.3, "sg": "No. 139"}

Last place for stability: *one*